Compound: Sc3TaGe
Source: Alexandria via LeMat-Bulk
Functional: SCAN
Structure: PBEsol geometry

Lattice parameters (Å, degrees): 4.9403 4.9403 4.9403 90.00 90.00 90.00
Space group Pm-3m (No. 221)
Symmetry-distinct sites (fractional):
Sc: 0.0000 0.0000 0.5000 [3 per cell]
Ta: 0.5000 0.5000 0.5000 [1 per cell]
Ge: 0.0000 0.0000 0.0000 [1 per cell]

Summary:
Its final energy is -25.195 eV per atom. For the density, the calculation gives 5.3 g/cm3. The value obtained for the calculated formation energy is 0.481 eV/atom.